1.
9
Lattice="3.881 0.000 0.000 0.000 6.398 3.695 0.000 -6.398 3.695" Properties=species:S:1:pos:R:3 comment="TbDy2In3Co2Cu GGA-PBE relaxed" e_tot_ev_per_cell=-43.00 m_tot_mub_per_fu=0.0 pbc="T T T"
Tb 0.000 0.000 0.000
Dy 0.000 -2.643 4.582
Dy 0.000 2.643 4.582
In 1.941 -1.658 2.102
In 1.941 1.658 2.102
In 1.941 0.000 4.963
Co 1.941 -4.263 3.055
Co 1.941 4.263 3.055
Cu 0.000 0.000 3.058


2.
8
Lattice="4.309 0.000 0.000 0.000 4.309 0.000 0.000 0.000 6.108" Properties=species:S:1:pos:R:3 comment="Hf2Al2FeCo2Ir GGA-PBE relaxed" e_tot_ev_per_cell=-63.91 m_tot_mub_per_fu=1.0 pbc="T T T"
Hf 0.000 2.154 1.458
Hf 2.154 0.000 4.649
Al 0.000 2.154 4.613
Al 2.154 0.000 1.495
Fe 2.154 2.154 0.000
Co 0.000 0.000 0.000
Co 2.154 2.154 3.054
Ir 0.000 0.000 3.054


3.
50
Lattice="5.397 0.000 0.000 0.000 8.063 0.000 -1.818 0.000 10.704" Properties=species:S:1:pos:R:3 comment="Na2ZnH8S2O12 GGA-PBE relaxed" e_tot_ev_per_cell=-264.58 pbc="T T T"
Na 0.002 0.648 3.882
Na -0.907 3.383 9.234
Na 4.486 4.679 1.470
Na 3.577 7.414 6.821
Zn 0.000 0.000 0.000
Zn -0.909 4.031 5.352
H 0.547 5.200 3.656
H -0.362 6.894 9.008
H 1.247 5.784 0.105
H 0.338 6.310 5.457
H -0.208 0.424 8.749
H 0.701 3.607 3.397
H 0.638 5.648 6.830
H 1.547 6.446 1.478
H 2.032 1.617 9.226
H 2.941 2.415 3.874
H 2.878 4.455 7.306
H 3.787 7.638 1.955
H 3.241 1.752 5.247
H 2.332 2.279 10.599
H 3.941 1.168 1.696
H 3.032 2.863 7.048
S 0.926 1.689 6.829
S 1.835 2.343 1.477
S 1.745 5.720 9.226
S 2.654 6.374 3.875
O 0.040 4.345 3.561
O -0.869 7.749 8.912
O -0.105 5.802 6.186
O 0.804 6.291 0.834
O 0.118 0.641 6.196
O 1.027 3.390 0.844
O 1.664 1.031 0.805
O 0.755 3.000 6.157
O 0.282 5.381 9.300
O 1.191 6.713 3.948
O 0.575 1.798 8.289
O 1.484 2.233 2.937
O 2.095 5.829 7.766
O 3.004 6.265 2.415
O 2.388 1.350 6.756
O 3.297 2.681 1.404
O 2.825 5.062 4.547
O 1.916 7.032 9.898
O 2.552 4.673 9.860
O 3.461 7.421 4.508
O 2.776 1.771 9.870
O 3.685 2.260 4.518
O 4.448 0.313 1.791
O 3.539 3.718 7.143


4.
11
Lattice="6.558 0.000 0.000 0.000 3.857 0.000 -0.065 0.000 7.533" Properties=species:S:1:pos:R:3 comment="Hf2ZrNi2As4Pd2 GGA-PBE relaxed" e_tot_ev_per_cell=-76.96 relative_energy_kcal_per_mol_atoms=0.83 m_tot_mub_per_fu=0.0 pbc="T T T"
Hf 0.000 0.000 0.000
Hf 3.175 0.000 0.993
Zr 3.630 1.929 3.816
Ni 1.233 1.929 1.899
Ni 2.559 0.000 5.714
As 1.693 1.929 6.940
As 1.762 0.000 3.372
As 5.146 1.929 1.448
As 5.201 0.000 5.243
Pd 4.259 1.929 6.620
Pd 5.847 0.000 2.864


5.
12
Lattice="4.568 0.000 0.000 -2.284 3.956 0.000 0.000 0.000 16.233" Properties=species:S:1:pos:R:3 comment="PrYZn2Sn2 GGA-PBE relaxed" e_tot_ev_per_cell=-50.93 relative_energy_kcal_per_mol_atoms=0.44 m_tot_mub_per_fu=0.0 pbc="T T T"
Pr 0.000 0.000 4.058
Pr 0.000 0.000 12.175
Y 0.000 0.000 0.000
Y 0.000 0.000 8.117
Zn 0.000 2.637 2.517
Zn 0.000 2.637 5.600
Zn 2.284 1.319 10.634
Zn 2.284 1.319 13.716
Sn 0.000 2.637 9.931
Sn 0.000 2.637 14.419
Sn 2.284 1.319 1.814
Sn 2.284 1.319 6.303


6.
12
Lattice="1.978 -6.726 0.000 1.978 6.726 0.000 0.000 0.000 10.705" Properties=species:S:1:pos:R:3 comment="TbGeAuSe3 GGA-PBE relaxed" e_tot_ev_per_cell=-54.85 m_tot_mub_per_fu=0.0 pbc="T T T"
Tb 0.000 0.000 0.000
Tb 0.000 0.000 5.353
Ge 1.978 3.873 8.029
Ge 1.978 -3.873 2.676
Au 1.978 0.379 2.676
Au 1.978 -0.379 8.029
Se 1.978 5.322 2.676
Se 1.978 2.038 0.659
Se 1.978 2.038 4.693
Se 1.978 -2.038 6.012
Se 1.978 -2.038 10.046
Se 1.978 -5.322 8.029